Run P
Na2Hg3Pd after structural relaxation. Source: Alexandria, functional PBE-GGA.

Cell lengths 4.9053, 5.6379, 6.7500 Å; angles 114.68, 111.31, 90.00 degrees
With the nearest neighbours (Å) after each atom.
Positions (direct):
Hg 0.3704 0.3704 0.7408  2 Pd 2.85, 1 Hg 2.91, 4 Na 2.98-3.01
Hg 0.6296 0.6296 0.2592  2 Pd 2.85, 1 Hg 2.91, 4 Na 2.98-3.01
Na 0.2848 0.7848 0.5695  4 Hg 2.98-3.01, 1 Pd 3.20
Na 0.7152 0.2152 0.4305  4 Hg 2.98-3.01, 1 Pd 3.20
Hg 0.0000 0.0000 0.0000  2 Pd 2.82
Pd 0.0000 0.5000 0.0000  6 Hg 2.82-2.85

Properties
Space-group type: No. 71
DOS at the Fermi energy (states/eV per cell): 1.99

Run Q
Na2Hg3Pd after structural relaxation. Source: Alexandria, functional PBE-GGA.

Cell lengths 4.7722, 5.6761, 10.7474 Å; angles 90.00, 90.00, 90.00 degrees
With the nearest neighbours (Å) after each atom.
Positions (direct):
Na 0.0000 0.7128 0.7148  6 Hg 3.11-3.47, 1 Pd 3.29
Na 0.5000 0.2128 0.7852  6 Hg 3.11-3.47, 1 Pd 3.29
Hg 0.5000 0.7107 0.9051  2 Pd 2.86, 3 Hg 3.07-3.14, 4 Na 3.11-3.14
Na 0.5000 0.7872 0.2148  6 Hg 3.11-3.47, 1 Pd 3.29
Pd 0.0000 0.5000 0.0000  6 Hg 2.84-2.86
Na 0.0000 0.2872 0.2852  6 Hg 3.11-3.47, 1 Pd 3.29
Hg 0.0000 0.2107 0.5949  2 Pd 2.86, 3 Hg 3.07-3.14, 4 Na 3.11-3.14
Pd 0.5000 0.0000 0.5000  6 Hg 2.84-2.86
Hg 0.5000 0.2893 0.0949  2 Pd 2.86, 3 Hg 3.07-3.14, 4 Na 3.11-3.14
Hg 0.5000 0.5000 0.5000  2 Pd 2.84, 4 Hg 3.07
Hg 0.0000 0.7893 0.4051  2 Pd 2.86, 3 Hg 3.07-3.14, 4 Na 3.11-3.14
Hg 0.0000 0.0000 0.0000  2 Pd 2.84, 4 Hg 3.07

Properties
Space-group type: No. 58
DOS at the Fermi energy (states/eV per cell): 4.24

run Q comes first in stability; the runner-up is 68 meV per atom higher.

Run P
Na5Hg2Pd after structural relaxation. Source: Alexandria, functional PBE-GGA.

Cell lengths 4.6601, 6.4759, 12.9755 Å; angles 90.00, 90.00, 90.00 degrees
With the nearest neighbours (Å) after each atom.
Positions (direct):
Na 0.0000 0.4822 0.2356  1 Pd 3.06, 2 Hg 3.17, 4 Na 3.22-3.26
Na 0.0000 0.0178 0.7356  1 Pd 3.06, 2 Hg 3.17, 4 Na 3.22-3.26
Pd 0.0000 0.5000 0.0000  8 Na 3.06-3.24, 4 Hg 3.24
Na 0.0000 0.9822 0.2644  1 Pd 3.06, 2 Hg 3.17, 4 Na 3.22-3.26
Hg 0.5000 0.2540 0.6192  6 Na 3.02-3.22, 2 Pd 3.24
Na 0.5000 0.7781 0.6133  2 Hg 3.02-3.08, 2 Pd 3.11, 4 Na 3.22-3.29
Na 0.5000 0.7219 0.1133  2 Hg 3.02-3.08, 2 Pd 3.11, 4 Na 3.22-3.29
Na 0.0000 0.5000 0.5000  4 Hg 3.22, 2 Pd 3.24, 6 Na 3.29-3.43
Na 0.0000 0.5178 0.7644  1 Pd 3.06, 2 Hg 3.17, 4 Na 3.22-3.26
Pd 0.0000 0.0000 0.5000  8 Na 3.06-3.24, 4 Hg 3.24
Hg 0.5000 0.7460 0.3808  6 Na 3.02-3.22, 2 Pd 3.24
Hg 0.5000 0.2460 0.1192  6 Na 3.02-3.22, 2 Pd 3.24
Na 0.5000 0.2781 0.8867  2 Hg 3.02-3.08, 2 Pd 3.11, 4 Na 3.22-3.29
Na 0.5000 0.2219 0.3867  2 Hg 3.02-3.08, 2 Pd 3.11, 4 Na 3.22-3.29
Hg 0.5000 0.7540 0.8808  6 Na 3.02-3.22, 2 Pd 3.24
Na 0.0000 0.0000 0.0000  4 Hg 3.22, 2 Pd 3.24, 6 Na 3.29-3.43

Properties
Space-group type: No. 55
DOS at the Fermi energy (states/eV per cell): 5.04

Run Q
Na5Hg2Pd after structural relaxation. Source: Alexandria, functional PBE-GGA.

Cell lengths 5.0343, 5.0343, 20.4211 Å; angles 90.00, 90.00, 120.00 degrees
With the nearest neighbours (Å) after each atom.
Positions (direct):
Na 0.0000 0.0000 0.6702  3 Hg 3.12, 4 Na 3.26-3.33, 3 Pd 3.33
Hg 0.3333 0.6667 0.1152  1 Pd 2.75
Na 0.0000 0.0000 0.3298  3 Hg 3.12, 4 Na 3.26-3.33, 3 Pd 3.33
Na 0.0000 0.0000 0.8298  3 Hg 3.12, 4 Na 3.26-3.33, 3 Pd 3.33
Na 0.6667 0.3333 0.4548  4 Hg 3.24-3.27, 3 Na 3.44
Na 0.0000 0.0000 0.1702  3 Hg 3.12, 4 Na 3.26-3.33, 3 Pd 3.33
Hg 0.3333 0.6667 0.3848  1 Pd 2.75
Hg 0.6667 0.3333 0.8848  1 Pd 2.75
Pd 0.3333 0.6667 0.2500  2 Hg 2.75, 3 Na 2.91
Na 0.3333 0.6667 0.9548  4 Hg 3.24-3.27, 3 Na 3.44
Na 0.3333 0.6667 0.7500  3 Pd 2.91
Na 0.6667 0.3333 0.2500  3 Pd 2.91
Na 0.6667 0.3333 0.0452  4 Hg 3.24-3.27, 3 Na 3.44
Na 0.3333 0.6667 0.5452  4 Hg 3.24-3.27, 3 Na 3.44
Pd 0.6667 0.3333 0.7500  2 Hg 2.75, 3 Na 2.91
Hg 0.6667 0.3333 0.6152  1 Pd 2.75

Properties
Space-group type: No. 194
DOS at the Fermi energy (states/eV per cell): 5.94

run Q comes first in stability; the runner-up is 32 meV per atom higher.